DFT (PBE-GGA) results for a relaxed structure of CdCu2Cl.

abc: 3.225 3.270 6.865
angles: 89.86 90.00 90.00
Element x y z (fractional)
1 Cl 0.500 0.751 0.790
2 Cu 0.000 0.751 0.045
3 Cu 0.500 0.250 0.223
4 Cd 0.000 0.748 0.442

Computed properties:
Symmetry: Pm
E_tot in eV per atom: -2.77
Total magnetic moment in μB per cell: 0.00
ΔE_f (raw) in meV per atom: -36